# 1
This record from Alexandria via LeMat-Bulk describes Sc2Ni4Sn3 after structural relaxation. The functional is GGA-PBE.

V: 17.22 Å³ per atom
calculated density: 7.3 g cm⁻³
DOS at the Fermi energy: 6.2 states/eV/f.u.
formation enthalpy at 0 K: -399 meV/atom
total DFT energy (no corrections): -205.55 eV for the cell shown

a = 5.749 Å, b = 15.886 Å, c = 6.787 Å
α = 90.00°, β = 90.00°, γ = 90.00°
Space group Cmce (No. 64)
Asymmetric unit:
Sc 0.000 0.098 0.092 (multiplicity 8)
Ni 0.000 0.160 0.484 (multiplicity 8)
Ni 0.250 0.077 0.750 (multiplicity 8)
Sn 0.000 0.000 0.500 (multiplicity 4)
Sn 0.250 0.242 0.750 (multiplicity 8)

***

# 2
This record from Alexandria via LeMat-Bulk describes Sc3Ni2Sn3 after structural relaxation. The functional is GGA-PBE.

V: 19.92 Å³ per atom
calculated density: 6.3 g cm⁻³
DOS at the Fermi energy: 3.6 states/eV/f.u.
formation enthalpy at 0 K: -587 meV/atom
total DFT energy (no corrections): -189.05 eV for the cell shown

a = 7.974 Å, b = 14.376 Å, c = 5.561 Å
α = 90.00°, β = 90.00°, γ = 90.00°
Space group Pnma (No. 62)
Asymmetric unit:
Sc 0.030 0.113 0.115 (multiplicity 8)
Sc 0.164 0.250 0.638 (multiplicity 4)
Ni 0.088 0.613 0.373 (multiplicity 8)
Sn 0.187 0.750 0.631 (multiplicity 4)
Sn 0.194 0.038 0.605 (multiplicity 8)

***

# 3
This record from Alexandria via LeMat-Bulk describes Sc3NiSn after structural relaxation. The functional is GGA-PBE.

V: 22.77 Å³ per atom
calculated density: 4.6 g cm⁻³
DOS at the Fermi energy: 7.9 states/eV/f.u.
formation enthalpy at 0 K: -328 meV/atom
total DFT energy (no corrections): -30.42 eV for the cell shown

a = 4.846 Å, b = 4.846 Å, c = 4.846 Å
α = 90.00°, β = 90.00°, γ = 90.00°
Space group Pm-3m (No. 221)
Asymmetric unit:
Sc 0.000 0.000 0.500 (multiplicity 3)
Ni 0.000 0.000 0.000 (multiplicity 1)
Sn 0.500 0.500 0.500 (multiplicity 1)